# 1
Density functional theory data (GGA-PBE) for a geometry-optimized CaUO4 structure.

Geometry as POSCAR:
```
CaUO4
1.0
-1.1771 -1.8566 -3.0232
5.7770 -1.3567 -1.4162
-0.9366 -12.1725 7.8402
O U Ca
16 4 4
Cartesian
0.0796 -1.1774 -0.4634
2.5944 -6.7133 1.9573
-0.7280 -6.6523 0.9025
3.6934 -11.5560 4.5033
2.5018 -10.6651 2.1093
-0.5102 -11.5909 3.8507
2.7283 -6.1997 -0.7212
4.3913 -8.7335 2.4982
1.0689 -8.6725 1.4435
2.4817 -3.1554 -2.4948
4.1735 -3.7949 -0.4499
1.1816 -12.2304 5.8956
1.1615 -4.7207 1.2914
-0.0301 -3.8298 -1.1026
0.9350 -9.1861 4.1220
3.5837 -14.2084 3.8641
1.0915 -6.6892 0.2167
-0.5790 -11.4266 6.0874
4.2423 -3.9592 -2.6866
2.5718 -8.6966 3.1840
1.7415 -12.5494 3.5626
4.6219 -5.9631 0.7070
1.9218 -2.8364 -0.1618
-0.9586 -9.4227 2.6937
```

Values from the calculation:
Symmetry: Pnma, No. 62


# 2
Density functional theory data (GGA-PBE) for a geometry-optimized BeNbOF2 structure.

Geometry as POSCAR:
```
BeNbOF2
1.0
-0.7772 -1.4853 2.6534
1.5861 -2.5346 -0.9542
5.1499 2.1927 2.7358
Nb F O Be
1 2 1 1
Cartesian
2.9794 -0.9136 2.2175
0.7930 -1.2673 -0.4771
-0.3886 -0.7426 1.3267
2.5750 1.0964 1.3679
0.0000 0.0000 0.0000
```

Values from the calculation:
Offset from the most stable computed form in meV per atom: 0
Symmetry: P4/mmm, No. 123


# 3
Density functional theory data (GGA-PBE) for a geometry-optimized ZrAg2Se structure.

Geometry as POSCAR:
```
ZrAg2Se
1.0
-3.3736 -1.7405 2.9228
-0.0143 -4.1098 -2.4622
4.0594 1.7211 1.8743
Se Ag Zr
1 2 1
Cartesian
-1.7493 -3.0206 0.2378
-0.4903 -1.4484 2.5118
-3.3751 -5.8281 0.4588
1.2041 -2.6076 -0.1827
```

Values from the calculation:
Symmetry: Imm2, No. 44


# 4
Density functional theory data (GGA-PBE) for a geometry-optimized TbHo14Pu structure.

Geometry as POSCAR:
```
TbHo14Pu
1.0
-4.4025 -5.6645 0.0980
5.6501 0.0689 -4.4216
6.2770 -4.7410 7.9472
Ho Tb Pu
14 1 1
Cartesian
2.7141 -2.0794 0.5238
6.5031 -7.2919 2.3389
3.6535 -7.3270 4.5743
5.8728 -4.4652 4.5230
5.5566 -2.0805 -1.6668
8.6713 -4.4330 2.2767
-0.5245 -1.8777 -0.7059
0.0986 -4.6724 -2.8653
3.2368 -7.0456 1.1070
5.4371 -4.2131 1.0589
0.4903 -4.9379 0.5694
3.3443 -4.9061 -1.6603
0.4123 -7.0790 3.3180
2.6127 -4.2464 3.2698
2.2946 -1.8449 -2.9130
-2.7308 -4.7111 -0.6535
```

Values from the calculation:
Symmetry: Amm2, No. 38
Energy of formation from the pure elements in eV per atom: 0.024


# 5
Density functional theory data (GGA-PBE) for a geometry-optimized La2ScTl2 structure.

Geometry as POSCAR:
```
La2ScTl2
1.0
-4.8546 0.1915 0.1632
-2.7243 -4.7171 -3.1082
-2.4784 -4.3497 3.7778
Tl Sc La
2 1 2
Cartesian
-4.9698 -4.3497 2.0652
-5.0876 -4.5256 -1.2325
0.0000 0.0000 0.0000
-2.5364 -2.8051 0.2402
-7.5210 -6.0702 0.5925
```

Values from the calculation:
Offset from the most stable computed form in meV per atom: 22
Symmetry: Immm, No. 71
Energy of formation from the pure elements in eV per atom: -0.287


# 6
Density functional theory data (GGA-PBE) for a geometry-optimized ScNi2Br structure.

Geometry as POSCAR:
```
ScNi2Br
1.0
4.7204 -0.0488 -0.2050
3.5491 3.1127 -0.2050
0.0025 0.0009 5.0412
Sc Ni Br
1 2 1
Cartesian
6.2040 2.2986 3.4734
3.7396 1.3855 2.8286
0.3989 0.1478 4.5282
2.0680 0.7662 1.1578
```

Values from the calculation:
Offset from the most stable computed form in meV per atom: 256
Symmetry: C2/m, No. 12


# 7
Density functional theory data (GGA-PBE) for a geometry-optimized ThTiAlPt3 structure.

Geometry as POSCAR:
```
ThTiAlPt3
1.0
-2.3589 -4.6020 -2.6958
4.0981 0.9433 -5.1964
2.1498 -4.1704 5.2381
Th Ti Pt Al
2 2 6 2
Cartesian
0.7001 -5.6266 -0.4693
3.1889 -2.2024 -2.1847
2.5432 -3.9103 1.2958
1.3458 -3.9188 -3.9499
0.8920 -2.4557 0.2577
2.9128 0.6705 -3.6934
1.7333 -1.6305 -5.0413
0.0059 -2.0281 -2.8509
2.9970 -5.3733 -2.9117
1.1853 0.2729 -1.5030
-1.4337 -3.7470 -1.8109
5.3227 -4.0820 -0.8431
```

Values from the calculation:
Symmetry: Cmcm, No. 63
Energy of formation from the pure elements in eV per atom: -0.699


# 8
Density functional theory data (GGA-PBE) for a geometry-optimized ZnHgSe2N structure.

Geometry as POSCAR:
```
ZnHgSe2N
1.0
-4.5940 -2.4977 -0.5110
0.8744 -0.5546 -5.1509
1.6659 -3.1923 0.6265
Se Hg Zn N
2 1 1 1
Cartesian
-2.2970 -1.2489 -0.2555
0.4372 -0.2773 -2.5755
-1.0268 -3.1223 -2.5177
0.0000 0.0000 0.0000
0.8330 -1.5961 0.3133
```

Values from the calculation:
Offset from the most stable computed form in meV per atom: 0
Symmetry: P4/mmm, No. 123


# 9
Density functional theory data (GGA-PBE) for a geometry-optimized KLa2HfTa structure.

Geometry as POSCAR:
```
KLa2HfTa
1.0
-1.9927 -1.2793 5.1177
5.2688 -0.3939 1.9531
-0.0856 5.4778 1.3359
Ta La Hf K
1 2 1 1
Cartesian
1.5952 1.9023 4.2034
-0.0428 2.7389 0.6680
-0.9964 -0.6396 2.5589
0.0000 0.0000 0.0000
2.6344 -0.1970 0.9765
```

Values from the calculation:
Symmetry: P4/mmm, No. 123
Energy of formation from the pure elements in eV per atom: 1.850


# 10
Density functional theory data (GGA-PBE) for a geometry-optimized RbB2Te2S6 structure.

Geometry as POSCAR:
```
RbB2Te2S6
1.0
-6.7003 0.1110 -2.1360
-6.2676 -7.4136 3.7655
-3.0396 4.6073 2.9954
S B Te Rb
6 2 2 1
Cartesian
-6.4600 -3.3052 4.2367
-9.5474 0.6099 0.3882
-9.4243 -2.2228 3.4491
-6.5831 -0.4725 1.1758
-7.8168 -1.0807 5.8026
-8.1907 -1.6146 -1.1777
-7.9318 -2.2897 4.4222
-8.0757 -0.4056 0.2027
-9.0856 2.0679 2.4454
-6.9219 -4.7632 2.1795
-4.8699 2.3592 0.4297
```

Values from the calculation:
Symmetry: P-1, No. 2


# 11
Density functional theory data (GGA-PBE) for a geometry-optimized BeAg2As structure.

Geometry as POSCAR:
```
BeAg2As
1.0
-0.4365 -1.7207 2.2712
2.7474 -0.4143 -0.7682
2.3081 6.0229 5.0067
Be Ag As
1 2 1
Cartesian
2.8784 3.4284 4.4888
2.2132 5.7750 4.8007
1.7101 0.3799 1.9547
1.2795 3.3388 2.7755
```

Values from the calculation:
Offset from the most stable computed form in meV per atom: 7
Symmetry: Cmm2, No. 35
Energy of formation from the pure elements in eV per atom: 0.218


# 12
Density functional theory data (GGA-PBE) for a geometry-optimized NbCrCu2 structure.

Geometry as POSCAR:
```
NbCrCu2
1.0
3.0797 2.1479 2.1761
-0.1749 0.2490 4.3291
2.8707 -2.1801 2.4166
Cr Nb Cu
1 1 2
Cartesian
0.0000 0.0000 0.0000
2.8877 0.1084 4.4609
4.3316 0.1626 6.6914
1.4439 0.0542 2.2305
```

Values from the calculation:
Offset from the most stable computed form in meV per atom: 0
Symmetry: Fm-3m, No. 225
Energy of formation from the pure elements in eV per atom: 0.310


Number 1: electronic total energy -8.6760 eV per atom, magnetic moment 0.00 μB per cell. Number 2: electronic total energy -6.3609 eV per atom, magnetic moment 2.15 μB per cell. Number 3: electronic total energy -4.5593 eV per atom, magnetic moment 0.00 μB per cell. Number 4: electronic total energy -5.1669 eV per atom, magnetic moment 5.88 μB per cell. Number 5: electronic total energy -4.4710 eV per atom, magnetic moment 0.01 μB per cell. Number 6: electronic total energy -5.0189 eV per atom, magnetic moment 0.00 μB per cell. Number 7: electronic total energy -6.8953 eV per atom, magnetic moment 0.00 μB per cell. Number 8: electronic total energy -2.5034 eV per atom, magnetic moment 0.00 μB per cell. Number 9: electronic total energy -4.7020 eV per atom, magnetic moment 0.00 μB per cell. Number 10: electronic total energy -4.4845 eV per atom, magnetic moment 0.00 μB per cell. Number 11: electronic total energy -3.3015 eV per atom, magnetic moment 0.00 μB per cell. Number 12: electronic total energy -6.6610 eV per atom, magnetic moment 3.84 μB per cell.